A plane-wave DFT calculation with PBE was carried out for a relaxed Dy2ZnGePt6 crystal.

Values from the calculation:
Its uncorrected energy is -5.922 eV per atom. The space-group type is R-3m. The calculated volume comes out at 20.614 Å³/atom. The value obtained for the total moment is 0.0000 μB per atom.

```
Dy2ZnGePt6
1.0
2.781 1.606 7.693
-2.781 1.606 7.693
0.000 -3.211 7.693
Dy Zn Ge Pt
2 1 1 6
direct
0.202 0.202 0.202
0.798 0.798 0.798
0.500 0.500 0.500
0.000 0.000 0.000
0.250 0.250 0.746
0.250 0.746 0.250
0.254 0.750 0.750
0.746 0.250 0.250
0.750 0.254 0.750
0.750 0.750 0.254
```